# 1
Entry from Alexandria via LeMat-Bulk: a relaxed structure of Th2IrPd (GGA-PBE).

## Properties
The total DFT energy (no corrections) is -7.53 eV per atom.

Unit cell a=4.0609 b=4.0609 c=25.8169 alpha=90.00 beta=90.00 gamma=120.00
Space group R-3m (No. 166, hexagonal axes)
Unique sites:
Th1 0.0000 0.0000 0.1049 x6
Ir1 0.0000 0.0000 0.5000 x3
Pd1 0.0000 0.0000 0.0000 x3

# 2
Entry from Alexandria via LeMat-Bulk: a relaxed structure of AgPd2PtI (GGA-PBE).

## Properties
As for the distance to the lowest polymorph of the same formula: 36 meV per atom. For the formation energy from raw total energies, the calculation gives 1066.2 meV per atom.

Unit cell a=4.952 b=4.952 c=4.986 alpha=90.00 beta=90.00 gamma=90.00
Space group P4/mmm (No. 123)
Unique sites:
Ag1 0.000 0.000 0.000 x1
Pd1 0.000 0.500 0.000 x2
Pt1 0.000 0.000 0.500 x1
I1 0.500 0.500 0.500 x1

What is the formula in the first record? Th2IrPd